# 1
Computed, not measured: PmP2Pd after structural relaxation at the GGA-PBE level of DFT.

Cell: 4.706 4.706 4.706 Å, 60.00 60.00 60.00°
Sites, in units of the cell vectors:
P  0.250  0.250  0.250
P  0.750  0.750  0.750
Pd  0.500  0.500  0.500
Pm  0.000  0.000  0.000

Relative energy among the computed polymorphs = 310 meV per atom
Space-group type = Fm-3m, No. 225

=====

# 2
Computed, not measured: PmPPd3 after structural relaxation at the GGA-PBE level of DFT.

Cell: 4.608 4.608 4.608 Å, 90.00 90.00 90.00°
Sites, in units of the cell vectors:
P  0.000  0.000  0.000
Pd  0.000  0.500  0.000
Pd  0.000  0.000  0.500
Pd  0.500  0.000  0.000
Pm  0.500  0.500  0.500

Space-group type = Pm-3m, No. 221

=====

# 3
Computed, not measured: PmPPd2 after structural relaxation at the GGA-PBE level of DFT.

Cell: 4.366 4.128 4.128 Å, 90.00 90.00 90.00°
Sites, in units of the cell vectors:
P  0.500  0.500  0.500
Pd  0.000  0.000  0.500
Pd  0.000  0.500  0.000
Pm  0.500  0.000  0.000

Space-group type = P4/mmm, No. 123

=====

# 4
Computed, not measured: PmP4Pd12 after structural relaxation at the GGA-PBE level of DFT.

Cell: 7.239 7.239 7.239 Å, 109.47 109.47 109.47°
Sites, in units of the cell vectors:
Pm  0.000  0.000  0.000
P  0.000  0.500  0.000
P  0.500  0.000  0.000
P  0.500  0.500  0.500
P  0.000  0.000  0.500
Pd  0.828  0.336  0.164
Pd  0.336  0.508  0.172
Pd  0.836  0.172  0.664
Pd  0.336  0.164  0.828
Pd  0.164  0.828  0.336
Pd  0.664  0.492  0.828
Pd  0.508  0.172  0.336
Pd  0.492  0.828  0.664
Pd  0.664  0.836  0.172
Pd  0.828  0.664  0.492
Pd  0.172  0.336  0.508
Pd  0.172  0.664  0.836

Space-group type = Im-3, No. 204

=====

# 5
Computed, not measured: PmP2Pd2 after structural relaxation at the GGA-PBE level of DFT.

Cell: 4.154 4.154 5.776 Å, 111.10 111.10 89.94°
Sites, in units of the cell vectors:
Pm  0.000  0.000  0.000
P  0.613  0.613  0.225
P  0.387  0.387  0.775
Pd  0.750  0.250  0.500
Pd  0.250  0.750  0.500

Space-group type = I4/mmm, No. 139

=====

# 6
Computed, not measured: PmPrPPd after structural relaxation at the GGA-PBE level of DFT.

Cell: 5.093 5.093 5.093 Å, 60.00 60.00 60.00°
Sites, in units of the cell vectors:
Pr  0.750  0.750  0.750
P  0.500  0.500  0.500
Pd  0.000  0.000  0.000
Pm  0.250  0.250  0.250

Space-group type = F-43m, No. 216

=====

Taking the records one at a time from the top gives E_form values of -189 -346 -247 -757 -462 -324 kJ/mol of formula units.